# 1
VASP calculation (PBE) on an optimized crystal structure of YAsN.

Results
- E_form (uncorrected) (eV per formula unit) = -2.61
- DFT total energy (eV/atom) = -7.35
- DOS(E_F) (states/eV per atom) = 0.484
- total magnetic moment (μB per formula unit) = 0.00

a = 19.098 Å, b = 3.433 Å, c = 3.368 Å
α = 90.00°, β = 90.00°, γ = 90.00°
Space group Pnma (No. 62)
One atom of each set of equivalent atoms:
1 Y 0.184 0.250 0.235 x4
2 As 0.029 0.250 0.731 x4
3 N 0.194 0.750 0.735 x4

# 2
VASP calculation (PBE) on an optimized crystal structure of YAsN2.

Results
- E_form (uncorrected) (eV per formula unit) = -0.75
- DFT total energy (eV/atom) = -7.13
- DOS(E_F) (states/eV per atom) = 0.037
- total magnetic moment (μB per formula unit) = 0.00

a = 4.964 Å, b = 4.964 Å, c = 10.894 Å
α = 90.00°, β = 90.00°, γ = 90.00°
Space group I-42d (No. 122)
One atom of each set of equivalent atoms:
1 Y 0.000 0.000 0.000 x4
2 As 0.000 0.000 0.500 x4
3 N 0.225 0.250 0.625 x8

# 3
VASP calculation (PBE) on an optimized crystal structure of Y2AsN.

Results
- E_form (uncorrected) (eV per formula unit) = -4.48
- DFT total energy (eV/atom) = -7.59
- DOS(E_F) (states/eV per atom) = 0.157
- total magnetic moment (μB per formula unit) = 0.00
- excess energy over the best structure of this formula in the dataset (meV/atom) = 308

a = 3.6846 Å, b = 3.6846 Å, c = 20.2146 Å
α = 90.00°, β = 90.00°, γ = 120.00°
Space group R3m (No. 160, hexagonal axes)
One atom of each set of equivalent atoms:
1 Y 0.0000 0.0000 0.0000 x3
2 Y 0.0000 0.0000 0.1484 x3
3 As 0.0000 0.0000 0.5734 x3
4 N 0.0000 0.0000 0.4036 x3

# 4
VASP calculation (PBE) on an optimized crystal structure of YAsN2.

Results
- E_form (uncorrected) (eV per formula unit) = -1.12
- DFT total energy (eV/atom) = -7.22
- DOS(E_F) (states/eV per atom) = 0.014
- total magnetic moment (μB per formula unit) = 0.00

a = 3.5588 Å, b = 3.5588 Å, c = 18.2204 Å
α = 90.00°, β = 90.00°, γ = 120.00°
Space group R-3m (No. 166, hexagonal axes)
One atom of each set of equivalent atoms:
1 Y 0.0000 0.0000 0.0000 x3
2 As 0.0000 0.0000 0.5000 x3
3 N 0.0000 0.0000 0.3990 x6